Entry 1:
DFT (GGA-PBE) results for an optimized crystal structure of La5Te4I. Values from VASP.

ρ: 6.5 g cm⁻³
DFT total energy: -53.44 eV per cell
uncorrected formation energy: -1.469 eV/atom

The structure in Quantum ESPRESSO input format:
```
&SYSTEM
  ibrav = 0, nat = 10, ntyp = 3
/
ATOMIC_SPECIES
La 138.91 La.upf
Te 127.60 Te.upf
I 126.90 I.upf
CELL_PARAMETERS angstrom
2.2942 1.3245 18.6388
-2.2942 1.3245 18.6388
0.0000 -2.6491 18.6388
ATOMIC_POSITIONS crystal
La 0.0000 0.0000 0.0000
La 0.2013 0.2013 0.2013
La 0.4002 0.4002 0.4002
La 0.5998 0.5998 0.5998
La 0.7987 0.7987 0.7987
Te 0.0999 0.0999 0.0999
Te 0.3000 0.3000 0.3000
Te 0.7000 0.7000 0.7000
Te 0.9001 0.9001 0.9001
I 0.5000 0.5000 0.5000
```


Entry 2:
DFT (GGA-PBE) results for an optimized crystal structure of La2TeI. Values from VASP.

ρ: 4.6 g cm⁻³
DFT total energy: -35.08 eV per cell
uncorrected formation energy: -0.749 eV/atom

The structure in Quantum ESPRESSO input format:
```
&SYSTEM
  ibrav = 0, nat = 8, ntyp = 3
/
ATOMIC_SPECIES
La 138.91 La.upf
Te 127.60 Te.upf
I 126.90 I.upf
CELL_PARAMETERS angstrom
-3.6337 3.6337 7.2319
3.6337 -3.6337 7.2319
3.6337 3.6337 -7.2319
ATOMIC_POSITIONS crystal
La 0.1137 0.6250 0.9887
La 0.3750 0.3637 0.4887
La 0.6363 0.1250 0.0113
La 0.8750 0.8863 0.5113
Te 0.0000 0.0000 0.0000
Te 0.7500 0.2500 0.5000
I 0.2500 0.7500 0.5000
I 0.5000 0.5000 0.0000
```


Entry 3:
DFT (GGA-PBE) results for an optimized crystal structure of LaTe3I. Values from VASP.

ρ: 5.6 g cm⁻³
DFT total energy: -15.89 eV per cell
uncorrected formation energy: 0.002 eV/atom

The structure in Quantum ESPRESSO input format:
```
&SYSTEM
  ibrav = 0, nat = 5, ntyp = 3
/
ATOMIC_SPECIES
La 138.91 La.upf
Te 127.60 Te.upf
I 126.90 I.upf
CELL_PARAMETERS angstrom
5.7851 0.0000 0.0000
0.0000 5.7851 0.0000
0.0000 0.0000 5.7851
ATOMIC_POSITIONS crystal
La 0.0000 0.0000 0.0000
Te 0.0000 0.5000 0.5000
Te 0.5000 0.0000 0.5000
Te 0.5000 0.5000 0.0000
I 0.5000 0.5000 0.5000
```


Entry 4:
DFT (GGA-PBE) results for an optimized crystal structure of La3Te3I. Values from VASP.

ρ: 5.9 g cm⁻³
DFT total energy: -72.18 eV per cell
uncorrected formation energy: -1.476 eV/atom

The structure in Quantum ESPRESSO input format:
```
&SYSTEM
  ibrav = 0, nat = 14, ntyp = 3
/
ATOMIC_SPECIES
La 138.91 La.upf
Te 127.60 Te.upf
I 126.90 I.upf
CELL_PARAMETERS angstrom
4.8514 2.8009 6.3967
-4.8514 2.8009 6.3967
0.0000 -5.6019 6.3967
ATOMIC_POSITIONS crystal
La 0.0598 0.4220 0.7847
La 0.2153 0.9402 0.5780
La 0.4220 0.7847 0.0598
La 0.5780 0.2153 0.9402
La 0.7847 0.0598 0.4220
La 0.9402 0.5780 0.2153
Te 0.1191 0.7068 0.4075
Te 0.2932 0.5925 0.8809
Te 0.4075 0.1191 0.7068
Te 0.5925 0.8809 0.2932
Te 0.7068 0.4075 0.1191
Te 0.8809 0.2932 0.5925
I 0.1691 0.1691 0.1691
I 0.8309 0.8309 0.8309
```


Entry 5:
DFT (GGA-PBE) results for an optimized crystal structure of La2TeI. Values from VASP.

ρ: 7.2 g cm⁻³
DFT total energy: -19.55 eV per cell
uncorrected formation energy: -1.251 eV/atom

The structure in Quantum ESPRESSO input format:
```
&SYSTEM
  ibrav = 0, nat = 4, ntyp = 3
/
ATOMIC_SPECIES
La 138.91 La.upf
Te 127.60 Te.upf
I 126.90 I.upf
CELL_PARAMETERS angstrom
0.0000 3.9412 3.9412
3.9412 0.0000 3.9412
3.9412 3.9412 0.0000
ATOMIC_POSITIONS crystal
La 0.2500 0.2500 0.2500
La 0.7500 0.7500 0.7500
Te 0.0000 0.0000 0.0000
I 0.5000 0.5000 0.5000
```


Entry 6:
DFT (GGA-PBE) results for an optimized crystal structure of La2TeI. Values from VASP.

ρ: 6.5 g cm⁻³
DFT total energy: -19.66 eV per cell
uncorrected formation energy: -1.278 eV/atom

The structure in Quantum ESPRESSO input format:
```
&SYSTEM
  ibrav = 0, nat = 4, ntyp = 3
/
ATOMIC_SPECIES
La 138.91 La.upf
Te 127.60 Te.upf
I 126.90 I.upf
CELL_PARAMETERS angstrom
2.3045 1.3305 7.3971
-2.3045 1.3305 7.3971
0.0000 -2.6611 7.3971
ATOMIC_POSITIONS crystal
La 0.2457 0.2457 0.2457
La 0.7543 0.7543 0.7543
Te 0.5000 0.5000 0.5000
I 0.0000 0.0000 0.0000
```